No. 1
VCd3Se after structural relaxation. Source: Alexandria via LeMat-Bulk, functional PBE-GGA.

a b c (Å): 5.308 5.308 5.308
angles (deg): 90.00 90.00 90.00
Fractional positions:
1 V 0.500 0.500 0.500
2 Se 0.000 0.000 0.000
3 Cd 0.000 0.500 0.000
4 Cd 0.000 0.000 0.500
5 Cd 0.500 0.000 0.000

Output
As for the total DFT energy (no corrections): -11.0 eV/cell. The formation energy (no corrections) is 0.87 eV per atom. As for the space-group type: No. 221. Its density of states at the Fermi level is 1.072 states/eV per atom.

=====

No. 2
Sc2Si5Pt3 after structural relaxation. Source: Alexandria via LeMat-Bulk, functional PBE-GGA.

a b c (Å): 4.144 6.669 11.746
angles (deg): 90.00 100.16 90.00
Fractional positions:
1 Sc 0.175 0.746 0.350
2 Pt 0.223 0.206 0.446
3 Sc 0.519 0.247 0.038
4 Sc 0.481 0.747 0.962
5 Pt 0.055 0.966 0.111
6 Si 0.711 0.007 0.422
7 Si 0.295 0.925 0.589
8 Si 0.396 0.389 0.793
9 Si 0.117 0.276 0.233
10 Si 0.953 0.086 0.905
11 Sc 0.825 0.246 0.650
12 Pt 0.394 0.016 0.788
13 Pt 0.777 0.706 0.554
14 Si 0.705 0.425 0.411
15 Si 0.289 0.507 0.578
16 Si 0.047 0.586 0.095
17 Pt 0.945 0.466 0.889
18 Si 0.604 0.889 0.207
19 Pt 0.606 0.516 0.212
20 Si 0.883 0.776 0.767

Output
As for the total DFT energy (no corrections): -132.5 eV/cell. The formation energy (no corrections) is -0.84 eV per atom. As for the space-group type: No. 36. Its density of states at the Fermi level is 0.204 states/eV per atom.

=====

formation energy (no corrections) of number 2 (Sc2Si5Pt3)? -0.84 eV per atom

=====

The highest formation energy (no corrections) belongs to which entry? VCd3Se

=====

What is the formula in the first record? VCd3Se

=====

Which value of total DFT energy (no corrections) does entry 1 give? -11.0 eV/cell